FeTeRhO6: optimized geometry, PBE+U.

```
data_FeTeRhO6
_space_group_name_H-M_alt 'P 1'
_space_group_IT_number 1
_space_group_name_Hall 'P 1'
_cell_length_a 4.671
_cell_length_b 4.671
_cell_length_c 9.306
_cell_angle_alpha 90.00
_cell_angle_beta 90.00
_cell_angle_gamma 90.00
loop_
_atom_site_label
_atom_site_type_symbol
_atom_site_fract_x
_atom_site_fract_y
_atom_site_fract_z
Fe1 Fe 0.500 0.500 0.169
O1 O 0.810 0.190 0.498
O2 O 0.690 0.690 0.998
O3 O 0.310 0.310 0.998
Fe2 Fe 0.000 0.000 0.669
O4 O 0.300 0.300 0.330
O5 O 0.808 0.192 0.171
O6 O 0.700 0.700 0.330
Rh1 Rh 0.500 0.500 0.499
O7 O 0.800 0.200 0.830
Te1 Te 0.500 0.500 0.834
O8 O 0.192 0.808 0.171
O9 O 0.190 0.810 0.498
O10 O 0.200 0.800 0.830
O11 O 0.692 0.692 0.671
O12 O 0.308 0.308 0.671
Rh2 Rh 0.000 0.000 0.999
Te2 Te 0.000 0.000 0.334
```

- Calculated total energy: -6.1474 eV/atom
- Density of states at the Fermi level: 0.52 states/eV/cell
- Space group: No. 102
- M_tot: 5.03 μB per formula unit